The following is a PBE with a Hubbard U calculation of a geometry-optimized CoPdSO structure, from OQMD.

Cell: 3.223 3.223 12.514 Å, 90.00 90.00 59.80°
Last column: magnetic moment on the atom in μB.
Sites, in units of the cell vectors:
Co: 0.168 0.168 0.235  2.55
Co: 0.832 0.832 0.735  2.55
O: 0.501 0.501 0.182  0.10
O: 0.499 0.499 0.682  0.10
Pd: 0.499 0.499 0.007  -0.24
Pd: 0.501 0.501 0.507  -0.25
S: 0.832 0.832 0.388  -0.08
S: 0.168 0.168 0.888  -0.07

Properties
Spin magnetization, μB per formula unit: 2.3
SG: Cmc2_1 (36)
Energy above the lowest structure with this stoichiometry, meV/atom: 94